## P
Material: LaBr3O
Method: DFT, PBE-GGA
State: optimized geometry

Structure (POSCAR):
```
LaBr3O
1.0
4.893 0.000 0.000
0.000 4.893 0.000
0.000 0.000 4.893
La Br O
1 3 1
Cartesian
0.000 0.000 0.000
0.000 2.447 2.447
2.447 0.000 2.447
2.447 2.447 0.000
2.447 2.447 2.447
```

Output
M_tot   0.000 μB per formula unit

---

## Q
Material: LaBr3O
Method: DFT, PBE-GGA
State: optimized geometry

Structure (POSCAR):
```
LaBr3O
1.0
5.869 0.000 0.000
0.000 5.869 0.000
0.000 0.000 5.869
La Br O
1 3 1
Cartesian
0.000 0.000 0.000
0.000 0.000 2.935
0.000 2.935 0.000
2.935 0.000 0.000
2.935 2.935 2.935
```

Output
M_tot   2.000 μB per formula unit

---

The structure with the most favorable energy is Q; the runner-up is 31.1 kJ/mol of atoms above it.

---

## P
Material: La2BrO2
Method: DFT, PBE-GGA
State: optimized geometry

Structure (POSCAR):
```
La2BrO2
1.0
3.952 0.000 0.000
0.000 3.952 0.000
0.000 0.000 6.811
La Br O
2 1 2
Cartesian
0.000 0.000 1.417
0.000 0.000 5.395
1.976 1.976 3.406
0.000 1.976 0.000
1.976 0.000 0.000
```

Output
M_tot   0.088 μB per formula unit

---

## Q
Material: La2BrO2
Method: DFT, PBE-GGA
State: optimized geometry

Structure (POSCAR):
```
La2BrO2
1.0
4.228 0.000 0.000
0.000 4.228 0.000
0.000 0.000 12.441
La Br O
4 2 4
Cartesian
0.000 0.000 1.971
0.000 0.000 10.470
2.114 2.114 4.249
2.114 2.114 8.192
0.000 0.000 6.221
2.114 2.114 0.000
0.000 2.114 3.110
0.000 2.114 9.331
2.114 0.000 3.110
2.114 0.000 9.331
```

Output
M_tot   1.000 μB per formula unit

---

## R
Material: La2BrO2
Method: DFT, PBE-GGA
State: optimized geometry

Structure (POSCAR):
```
La2BrO2
1.0
4.133 0.000 0.000
-2.066 3.579 0.000
0.000 0.000 7.556
La Br O
2 1 2
Cartesian
0.000 2.386 1.387
2.066 1.193 6.168
0.000 0.000 3.778
0.000 2.386 6.572
2.066 1.193 0.984
```

Output
M_tot   0.947 μB per formula unit

---

The structure with the most favorable energy is R; the runner-up is 3.4 kJ/mol of atoms above it.

---

## P
Material: LaBr2O
Method: DFT, PBE-GGA
State: optimized geometry

Structure (POSCAR):
```
LaBr2O
1.0
4.419 0.000 0.000
-2.210 3.827 0.000
0.000 0.000 26.387
La Br O
3 6 3
Cartesian
0.000 0.000 0.000
0.000 2.551 17.591
2.210 1.276 8.796
0.000 0.000 2.719
0.000 0.000 23.668
0.000 2.551 14.872
0.000 2.551 20.310
2.210 1.276 6.077
2.210 1.276 11.515
0.000 0.000 13.193
0.000 2.551 4.398
2.210 1.276 21.989
```

Output
M_tot   2.693 μB per formula unit

---

## Q
Material: LaBr2O
Method: DFT, PBE-GGA
State: optimized geometry

Structure (POSCAR):
```
LaBr2O
1.0
7.158 0.000 0.000
0.000 7.158 0.000
0.000 0.000 7.158
La Br O
4 8 4
Cartesian
0.000 0.000 0.000
0.000 3.579 3.579
3.579 0.000 3.579
3.579 3.579 0.000
1.789 1.789 1.789
1.789 1.789 5.368
1.789 5.368 1.789
1.789 5.368 5.368
5.368 1.789 1.789
5.368 1.789 5.368
5.368 5.368 1.789
5.368 5.368 5.368
0.000 0.000 3.579
0.000 3.579 0.000
3.579 0.000 0.000
3.579 3.579 3.579
```

Output
M_tot   1.000 μB per formula unit

---

## R
Material: LaBr2O
Method: DFT, PBE-GGA
State: optimized geometry

Structure (POSCAR):
```
LaBr2O
1.0
3.990 0.000 0.000
0.000 3.990 0.000
0.000 0.000 23.134
La Br O
4 8 4
Cartesian
0.000 0.000 0.000
0.000 1.995 5.783
1.995 0.000 17.350
1.995 1.995 11.567
0.994 0.998 2.892
0.998 2.989 8.675
0.998 2.996 20.242
1.001 0.998 14.459
2.989 2.993 14.459
2.993 0.994 20.242
2.993 1.001 8.675
2.996 2.993 2.892
0.000 0.000 11.567
0.000 1.995 17.350
1.995 0.000 5.783
1.995 1.995 0.000
```

Output
M_tot   0.000 μB per formula unit

---

The structure with the most favorable energy is R; the runner-up is 1.1 kJ/mol of atoms above it.

---

## P
Material: La2BrO
Method: DFT, PBE-GGA
State: optimized geometry

Structure (POSCAR):
```
La2BrO
1.0
6.502 0.000 0.000
0.000 6.502 0.000
0.000 0.000 11.539
La Br O
8 4 4
Cartesian
1.070 1.626 1.442
1.626 4.321 4.327
1.626 5.432 10.097
2.181 1.626 7.212
4.321 4.877 7.212
4.877 1.070 10.097
4.877 2.181 4.327
5.432 4.877 1.442
0.000 0.000 5.770
0.000 3.251 8.654
3.251 0.000 2.885
3.251 3.251 0.000
0.000 0.000 0.000
0.000 3.251 2.885
3.251 0.000 8.654
3.251 3.251 5.770
```

Output
M_tot   2.815 μB per formula unit

---

## Q
Material: La2BrO
Method: DFT, PBE-GGA
State: optimized geometry

Structure (POSCAR):
```
La2BrO
1.0
3.773 0.000 0.000
-1.886 3.267 0.000
0.000 0.000 22.176
La Br O
6 3 3
Cartesian
0.000 0.000 5.072
0.000 0.000 17.105
0.000 2.178 9.713
0.000 2.178 19.856
1.886 1.089 2.321
1.886 1.089 12.464
0.000 0.000 0.000
0.000 2.178 14.784
1.886 1.089 7.392
0.000 0.000 11.088
0.000 2.178 3.696
1.886 1.089 18.480
```

Output
M_tot   0.000 μB per formula unit

---

## R
Material: La2BrO
Method: DFT, PBE-GGA
State: optimized geometry

Structure (POSCAR):
```
La2BrO
1.0
7.032 0.000 0.000
0.000 7.032 0.000
0.000 0.000 7.032
La Br O
8 4 4
Cartesian
1.758 1.758 1.758
1.758 1.758 5.274
1.758 5.274 1.758
1.758 5.274 5.274
5.274 1.758 1.758
5.274 1.758 5.274
5.274 5.274 1.758
5.274 5.274 5.274
0.000 0.000 0.000
0.000 3.516 3.516
3.516 0.000 3.516
3.516 3.516 0.000
0.000 0.000 3.516
0.000 3.516 0.000
3.516 0.000 0.000
3.516 3.516 3.516
```

Output
M_tot   0.000 μB per formula unit

---

The structure with the most favorable energy is Q; the runner-up is 21.8 kJ/mol of atoms above it.

---

## P
Material: LaSeBr2O
Method: DFT, PBE-GGA
State: optimized geometry

Structure (POSCAR):
```
LaSeBr2O
1.0
5.797 0.000 0.000
0.000 5.797 0.000
0.000 0.000 6.079
La Se Br O
1 1 2 1
Cartesian
0.000 0.000 0.000
0.000 0.000 3.040
0.000 2.899 0.000
2.899 0.000 0.000
2.899 2.899 3.040
```

Output
M_tot   1.488 μB per formula unit

---

## Q
Material: LaSeBr2O
Method: DFT, PBE-GGA
State: optimized geometry

Structure (POSCAR):
```
LaSeBr2O
1.0
5.050 0.000 0.000
0.000 5.050 0.000
0.000 0.000 4.334
La Se Br O
1 1 2 1
Cartesian
0.000 0.000 0.000
2.525 2.525 0.000
0.000 2.525 2.167
2.525 0.000 2.167
2.525 2.525 2.167
```

Output
M_tot   0.483 μB per formula unit

---

The structure with the most favorable energy is Q; the runner-up is 28.8 kJ/mol of atoms above it.

---

## P
Material: LaOs3Br
Method: DFT, PBE-GGA
State: optimized geometry

Structure (POSCAR):
```
LaOs3Br
1.0
4.680 0.000 0.000
0.000 4.680 0.000
0.000 0.000 4.680
La Os Br
1 3 1
Cartesian
0.000 0.000 0.000
0.000 2.340 2.340
2.340 0.000 2.340
2.340 2.340 0.000
2.340 2.340 2.340
```

Output
M_tot   0.000 μB per formula unit

---

## Q
Material: LaOs3Br
Method: DFT, PBE-GGA
State: optimized geometry

Structure (POSCAR):
```
LaOs3Br
1.0
5.062 0.000 0.000
0.000 5.062 0.000
0.000 0.000 5.062
La Os Br
1 3 1
Cartesian
0.000 0.000 0.000
0.000 0.000 2.531
0.000 2.531 0.000
2.531 0.000 0.000
2.531 2.531 2.531
```

Output
M_tot   5.885 μB per formula unit

---

The structure with the most favorable energy is P; the runner-up is 138.5 kJ/mol of atoms above it.

---

## P
Material: LaOsSe2Br
Method: DFT, PBE-GGA
State: optimized geometry

Structure (POSCAR):
```
LaOsSe2Br
1.0
5.785 0.000 0.000
0.000 5.785 0.000
0.000 0.000 5.734
La Os Se Br
1 1 2 1
Cartesian
0.000 0.000 0.000
2.893 2.893 2.867
0.000 2.893 0.000
2.893 0.000 0.000
0.000 0.000 2.867
```

Output
M_tot   5.469 μB per formula unit

---

## Q
Material: LaOsSe2Br
Method: DFT, PBE-GGA
State: optimized geometry

Structure (POSCAR):
```
LaOsSe2Br
1.0
4.961 0.000 0.000
0.000 4.961 0.000
0.000 0.000 4.989
La Os Se Br
1 1 2 1
Cartesian
0.000 0.000 0.000
2.481 2.481 2.494
0.000 2.481 2.494
2.481 0.000 2.494
2.481 2.481 0.000
```

Output
M_tot   0.611 μB per formula unit

---

The structure with the most favorable energy is Q; the runner-up is 98.2 kJ/mol of atoms above it.

---

## P
Material: LaPBr
Method: DFT, PBE-GGA
State: optimized geometry

Structure (POSCAR):
```
LaPBr
1.0
7.798 0.000 0.000
0.000 4.919 0.000
-3.256 0.000 10.809
La P Br
4 4 4
Cartesian
0.282 0.000 3.526
0.360 2.460 7.283
4.181 2.460 3.526
4.260 0.000 7.283
-0.885 2.460 4.596
1.528 0.000 6.213
3.014 0.000 4.596
5.427 2.460 6.213
-0.847 0.000 8.957
1.490 2.460 1.852
3.052 2.460 8.957
5.389 0.000 1.852
```

Output
M_tot   0.000 μB per formula unit

---

## Q
Material: LaPBr
Method: DFT, PBE-GGA
State: optimized geometry

Structure (POSCAR):
```
LaPBr
1.0
6.983 0.000 0.000
0.000 6.983 0.000
0.000 0.000 6.983
La P Br
4 4 4
Cartesian
0.000 0.000 0.000
0.000 3.491 3.491
3.491 0.000 3.491
3.491 3.491 0.000
1.746 1.746 1.746
1.746 5.237 5.237
5.237 1.746 5.237
5.237 5.237 1.746
0.000 0.000 3.491
0.000 3.491 0.000
3.491 0.000 0.000
3.491 3.491 3.491
```

Output
M_tot   0.000 μB per formula unit

---

## R
Material: LaPBr
Method: DFT, PBE-GGA
State: optimized geometry

Structure (POSCAR):
```
LaPBr
1.0
6.931 0.000 0.000
0.000 6.931 0.000
0.000 0.000 6.931
La P Br
4 4 4
Cartesian
0.000 0.000 0.000
0.000 3.466 3.466
3.466 0.000 3.466
3.466 3.466 0.000
0.000 0.000 3.466
0.000 3.466 0.000
3.466 0.000 0.000
3.466 3.466 3.466
1.733 1.733 5.199
1.733 5.199 1.733
5.199 1.733 1.733
5.199 5.199 5.199
```

Output
M_tot   0.000 μB per formula unit

---

## S
Material: LaPBr
Method: DFT, PBE-GGA
State: optimized geometry

Structure (POSCAR):
```
LaPBr
1.0
7.119 0.000 0.000
0.000 7.119 0.000
0.000 0.000 7.119
La P Br
4 4 4
Cartesian
0.000 0.000 0.000
0.000 3.560 3.560
3.560 0.000 3.560
3.560 3.560 0.000
1.780 1.780 1.780
1.780 5.340 5.340
5.340 1.780 5.340
5.340 5.340 1.780
1.780 1.780 5.340
1.780 5.340 1.780
5.340 1.780 1.780
5.340 5.340 5.340
```

Output
M_tot   1.027 μB per formula unit

---

The structure with the most favorable energy is P; the runner-up is 51.9 kJ/mol of atoms above it.

---

## P
Material: LaPBr
Method: DFT, PBE-GGA
State: optimized geometry

Structure (POSCAR):
```
LaPBr
1.0
3.983 0.000 0.000
0.000 3.983 0.000
0.000 0.000 10.678
La P Br
2 2 2
Cartesian
0.000 0.000 0.000
1.992 1.992 5.339
0.000 0.000 6.247
1.992 1.992 0.908
0.000 0.000 3.330
1.992 1.992 8.669
```

Output
M_tot   0.729 μB per formula unit

---

## Q
Material: LaPBr
Method: DFT, PBE-GGA
State: optimized geometry

Structure (POSCAR):
```
LaPBr
1.0
4.550 0.000 0.000
-2.275 3.940 0.000
0.000 0.000 6.431
La P Br
1 1 1
Cartesian
0.000 0.000 0.000
2.275 1.313 1.151
0.000 2.627 4.655
```

Output
M_tot   1.010 μB per formula unit

---

The structure with the most favorable energy is P; the runner-up is 6.8 kJ/mol of atoms above it.

---

## P
Material: LaPBr2
Method: DFT, PBE-GGA
State: optimized geometry

Structure (POSCAR):
```
LaPBr2
1.0
3.745 0.000 0.000
-1.872 3.243 0.000
0.000 0.000 28.916
La P Br
3 3 6
Cartesian
0.000 0.000 0.000
0.000 2.162 19.277
1.872 1.081 9.639
0.000 0.000 14.458
0.000 2.162 4.819
1.872 1.081 24.097
0.000 0.000 11.796
0.000 0.000 17.120
0.000 2.162 2.157
0.000 2.162 7.482
1.872 1.081 21.434
1.872 1.081 26.759
```

Output
M_tot   0.000 μB per formula unit

---

## Q
Material: LaPBr2
Method: DFT, PBE-GGA
State: optimized geometry

Structure (POSCAR):
```
LaPBr2
1.0
4.234 0.000 0.000
-2.117 3.667 0.000
0.000 0.000 29.778
La P Br
3 3 6
Cartesian
0.000 0.000 0.000
0.000 2.444 19.852
2.117 1.222 9.926
0.000 0.000 14.889
0.000 2.444 4.963
2.117 1.222 24.815
0.000 0.000 8.110
0.000 0.000 21.668
0.000 2.444 11.742
0.000 2.444 27.963
2.117 1.222 1.816
2.117 1.222 18.036
```

Output
M_tot   2.327 μB per formula unit

---

## R
Material: LaPBr2
Method: DFT, PBE-GGA
State: optimized geometry

Structure (POSCAR):
```
LaPBr2
1.0
4.621 0.000 0.000
0.000 4.621 0.000
0.000 0.000 9.434
La P Br
2 2 4
Cartesian
0.000 0.000 0.000
2.310 2.310 4.717
0.000 0.000 4.717
2.310 2.310 0.000
0.000 2.310 2.358
0.000 2.310 7.075
2.310 0.000 2.358
2.310 0.000 7.075
```

Output
M_tot   0.338 μB per formula unit

---

## S
Material: LaPBr2
Method: DFT, PBE-GGA
State: optimized geometry

Structure (POSCAR):
```
LaPBr2
1.0
9.354 0.000 0.000
0.000 4.295 0.000
-0.772 0.000 7.393
La P Br
2 2 4
Cartesian
0.000 0.000 0.000
4.677 2.147 0.000
2.093 0.000 6.789
6.770 2.147 6.789
1.131 2.147 1.895
3.583 0.000 5.010
5.808 0.000 1.895
8.260 2.147 5.010
```

Output
M_tot   0.000 μB per formula unit

---

The structure with the most favorable energy is S; the runner-up is 30.3 kJ/mol of atoms above it.